[1]
DFT (PBE) results for crystalline BeAu2Br at its relaxed geometry.

Geometry as extended XYZ:
```
4
Lattice="-3.183 6.547 -5.005 -5.683 5.938 -3.237 -3.446 7.839 -2.174" Properties=species:S:1:pos:R:3 pbc="T T T"
Au -6.424 10.604 -5.435
Au -12.045 19.882 -10.190
Be -3.078 5.081 -2.604
Br -9.234 15.243 -7.812
```

Summary:
Symmetry: R-3m
D(E_F) in states/eV/cell: 2.46
E above lowest polymorph in meV per atom: 233
Magnetization in μB/cell: 0.00
Raw formation energy in eV/atom: 0.12
Volume in A^3/atom: 18.2


[2]
DFT (PBE) results for crystalline AlTlI5 at its relaxed geometry.

Geometry as extended XYZ:
```
14
Lattice="-2.796 -8.233 1.730 6.425 -4.526 -3.511 2.048 7.017 9.370" Properties=species:S:1:pos:R:3 pbc="T T T"
I 3.510 -7.081 3.245
I 5.272 -5.480 -0.662
I 6.157 1.590 5.569
I 3.255 3.640 7.832
I 0.405 -0.261 8.252
I 1.602 -3.450 5.570
I 2.423 -9.382 -0.243
I -0.480 -7.332 2.020
I 2.167 1.339 4.344
I 4.075 -2.292 2.019
Al 1.811 -8.617 2.103
Al 3.866 2.876 5.486
Tl -0.374 -0.608 5.550
Tl -1.398 -4.116 0.865
```

Summary:
Symmetry: P-1
Magnetization in μB/cell: 0.00
Raw formation energy in eV/atom: -0.53
Volume in A^3/atom: 49.9


[3]
DFT (PBE) results for crystalline Na3Pm5Te8 at its relaxed geometry.

Geometry as extended XYZ:
```
16
Lattice="7.780 0.000 4.456 2.614 7.328 4.456 -0.019 -0.013 9.052" Properties=species:S:1:pos:R:3 pbc="T T T"
Te 3.889 5.479 11.249
Te 2.618 1.846 4.448
Te 6.468 1.822 11.249
Te 7.756 5.468 13.517
Te 3.907 5.492 6.716
Te 2.585 1.822 9.025
Te 6.486 1.835 6.716
Te 7.790 5.492 8.940
Pm 5.187 3.657 8.982
Pm 1.307 3.664 2.228
Pm 3.890 0.000 2.228
Pm 5.197 3.664 4.456
Pm 0.000 0.000 0.000
Na -0.009 -0.007 4.526
Na 1.297 3.657 6.754
Na 3.881 -0.007 6.754
```

Summary:
Symmetry: R-3m
D(E_F) in states/eV/cell: 4.24
Magnetization in μB/cell: 0.00
Raw formation energy in eV/atom: -1.36
Volume in A^3/atom: 32.3


[4]
DFT (PBE) results for crystalline PtCl3 at its relaxed geometry.

Geometry as extended XYZ:
```
4
Lattice="2.120 0.000 9.489 -1.060 1.836 9.489 -1.060 -1.836 9.489" Properties=species:S:1:pos:R:3 pbc="T T T"
Cl 0.000 0.000 25.080
Cl 0.000 0.000 0.000
Cl 0.000 0.000 3.388
Pt 0.000 0.000 14.234
```

Summary:
Symmetry: R-3m
D(E_F) in states/eV/cell: 5.68
Magnetization in μB/cell: 2.43
Raw formation energy in eV/atom: 0.22
Volume in A^3/atom: 27.7


[5]
DFT (PBE) results for crystalline Mg2InSb at its relaxed geometry.

Geometry as extended XYZ:
```
4
Lattice="10.518 -0.045 -0.026 9.998 3.265 -0.026 9.998 1.569 2.863" Properties=species:S:1:pos:R:3 pbc="T T T"
Mg 30.480 4.784 2.808
Mg 7.609 1.194 0.701
Sb 15.416 2.420 1.420
In 22.781 3.576 2.098
```

Summary:
Symmetry: R3m
D(E_F) in states/eV/cell: 1.41
E above lowest polymorph in meV per atom: 147
Magnetization in μB/cell: 0.00
Raw formation energy in eV/atom: 0.00
Volume in A^3/atom: 25.1


[6]
DFT (PBE) results for crystalline Ba3TlIn at its relaxed geometry.

Geometry as extended XYZ:
```
5
Lattice="-3.519 -2.879 -4.905 -0.517 -5.582 3.647 -5.663 2.298 2.714" Properties=species:S:1:pos:R:3 pbc="T T T"
In 0.000 0.000 0.000
Ba -2.832 1.149 1.357
Ba -0.259 -2.791 1.824
Ba -1.759 -1.439 -2.452
Tl -4.850 -3.081 0.728
```

Summary:
Symmetry: Pm-3m
Energy relative to the elements in eV/atom: 0.04
D(E_F) in states/eV/cell: 6.10
E above lowest polymorph in meV per atom: 380
Magnetization in μB/cell: 2.76
Volume in A^3/atom: 59.8


[7]
DFT (PBE) results for crystalline Li2AlHg at its relaxed geometry.

Geometry as extended XYZ:
```
4
Lattice="-4.150 -4.140 -4.192 4.218 1.719 -0.845 1.083 -2.897 -0.542" Properties=species:S:1:pos:R:3 pbc="T T T"
Hg 0.034 -1.210 -2.518
Li -1.534 -3.518 -2.367
Li 0.000 0.000 0.000
Al 2.650 -0.589 -0.693
```

Summary:
Symmetry: C2/m
Energy relative to the elements in eV/atom: -0.21
D(E_F) in states/eV/cell: 1.01
Magnetization in μB/cell: 0.00
Volume in A^3/atom: 16.8


[8]
DFT (PBE) results for crystalline La3OsW at its relaxed geometry.

Geometry as extended XYZ:
```
5
Lattice="5.437 0.000 0.000 0.000 5.437 0.000 0.000 0.000 5.437" Properties=species:S:1:pos:R:3 pbc="T T T"
La 0.000 0.000 2.718
La 2.718 0.000 0.000
La 0.000 2.718 0.000
W 2.718 2.718 2.718
Os 0.000 0.000 0.000
```

Summary:
Symmetry: Pm-3m
Energy relative to the elements in eV/atom: 0.96
D(E_F) in states/eV/cell: 15.14
E above lowest polymorph in meV per atom: 0
Magnetization in μB/cell: 0.00
Volume in A^3/atom: 32.1


[9]
DFT (PBE) results for crystalline Tb4Co2Pt at its relaxed geometry.

Geometry as extended XYZ:
```
14
Lattice="-0.570 -4.359 -5.942 2.108 -3.909 5.910 -6.593 3.047 1.374" Properties=species:S:1:pos:R:3 pbc="T T T"
Pt -5.055 -5.221 1.342
Pt -1.858 -2.500 3.634
Co -4.774 0.168 3.395
Co -3.637 -1.744 0.090
Co -0.662 -3.324 -2.049
Co -1.037 -5.544 1.243
Tb -2.525 -4.125 -3.918
Tb -1.879 -0.950 -1.881
Tb -3.318 -4.283 -0.679
Tb -5.065 -1.536 -2.690
Tb -0.009 -5.806 -1.303
Tb -4.840 0.634 0.295
Tb -4.496 -2.378 2.633
Tb -0.765 -2.892 1.060
```

Summary:
Symmetry: I-42d
Energy relative to the elements in eV/atom: -0.43
D(E_F) in states/eV/cell: 3.58
Magnetization in μB/cell: 0.00
Volume in A^3/atom: 22.2


[10]
DFT (PBE) results for crystalline Zr2CuRh at its relaxed geometry.

Geometry as extended XYZ:
```
4
Lattice="-0.968 4.838 -3.284 1.948 -5.384 -1.530 -1.960 -4.901 2.694" Properties=species:S:1:pos:R:3 pbc="T T T"
Cu 0.000 0.000 0.000
Zr -0.009 -7.657 0.867
Zr -0.003 -2.627 0.297
Rh -0.006 -5.142 0.582
```

Summary:
Symmetry: Immm
Energy relative to the elements in eV/atom: 0.37
D(E_F) in states/eV/cell: 3.15
Magnetization in μB/cell: 0.00
Volume in A^3/atom: 19.1


[11]
DFT (PBE) results for crystalline MgTlInHg3 at its relaxed geometry.

Geometry as extended XYZ:
```
12
Lattice="3.793 0.000 0.000 -1.897 7.645 0.000 0.000 0.000 10.735" Properties=species:S:1:pos:R:3 pbc="T T T"
Hg 0.000 1.539 8.052
Hg 0.000 5.262 5.332
Hg 1.897 2.383 5.404
Hg 1.897 6.106 2.684
Hg 0.000 5.262 0.036
Hg 1.897 2.383 10.700
In 0.000 6.811 8.052
In 1.897 0.835 2.684
Tl 1.897 4.152 8.052
Tl 0.000 3.493 2.684
Mg 0.000 0.000 5.368
Mg 0.000 0.000 0.000
```

Summary:
Symmetry: Cmcm
Energy relative to the elements in eV/atom: -0.03
D(E_F) in states/eV/cell: 3.94
Magnetization in μB/cell: 0.00
Volume in A^3/atom: 25.9


[12]
DFT (PBE) results for crystalline PmTh3 at its relaxed geometry.

Geometry as extended XYZ:
```
4
Lattice="3.566 0.000 0.000 0.000 5.948 0.000 0.000 0.000 6.200" Properties=species:S:1:pos:R:3 pbc="T T T"
Pm 0.000 2.974 2.036
Th 1.783 2.974 5.153
Th 1.783 0.000 3.130
Th 0.000 0.000 0.015
```

Summary:
Symmetry: Pmm2
Energy relative to the elements in eV/atom: 0.06
D(E_F) in states/eV/cell: 4.13
E above lowest polymorph in meV per atom: 1
Magnetization in μB/cell: 0.00
Volume in A^3/atom: 32.9


[13]
DFT (PBE) results for crystalline CaSi2Tc at its relaxed geometry.

Geometry as extended XYZ:
```
4
Lattice="5.189 -0.004 -0.008 1.532 4.958 0.008 -2.595 -3.516 2.799" Properties=species:S:1:pos:R:3 pbc="T T T"
Si 3.575 2.635 0.000
Si 6.507 4.796 0.000
Ca 1.149 1.960 1.404
Tc 2.978 -0.522 1.396
```

Summary:
Symmetry: Immm
D(E_F) in states/eV/cell: 2.88
E above lowest polymorph in meV per atom: 467
Magnetization in μB/cell: 0.00
Raw formation energy in eV/atom: 0.01
Volume in A^3/atom: 18.0


[14]
DFT (PBE) results for crystalline Pr4Sm3Th at its relaxed geometry.

Geometry as extended XYZ:
```
8
Lattice="3.666 0.000 0.000 0.000 6.243 -1.107 -1.833 -3.177 12.731" Properties=species:S:1:pos:R:3 pbc="T T T"
Sm 1.833 1.583 8.936
Sm 0.000 1.483 2.689
Sm 0.000 3.121 -0.553
Pr 1.833 4.692 2.175
Pr 0.000 -0.022 6.112
Pr 1.833 3.088 5.513
Pr 0.000 -1.626 9.450
Th 1.833 0.000 0.000
```

Summary:
Symmetry: C2/m
Energy relative to the elements in eV/atom: 0.03
D(E_F) in states/eV/cell: 11.63
E above lowest polymorph in meV per atom: 0
Magnetization in μB/cell: 0.00
Volume in A^3/atom: 34.8


[15]
DFT (PBE) results for crystalline Tl2PdRh3F12 at its relaxed geometry.

Geometry as extended XYZ:
```
18
Lattice="-1.611 4.261 -6.029 -5.441 -2.153 -4.781 -6.507 3.833 -0.265" Properties=species:S:1:pos:R:3 pbc="T T T"
Rh -3.253 1.917 -0.133
Rh -2.721 -1.077 -2.391
Rh -0.806 2.131 -3.015
F -5.357 1.763 -7.377
F -2.139 2.886 -4.331
F -9.321 6.571 -7.429
F -11.420 3.055 -6.745
F -5.990 5.321 -4.693
F -5.293 4.432 -7.125
F -8.736 3.290 -9.904
F -4.238 -0.630 -3.647
F -4.823 2.652 -1.172
F -8.266 1.509 -3.951
F -8.202 4.178 -3.699
F -7.569 0.620 -6.383
Pd 0.000 0.000 0.000
Tl -8.691 3.808 -7.100
Tl -4.868 2.133 -3.976
```

Summary:
Symmetry: R-3m
D(E_F) in states/eV/cell: 6.74
Magnetization in μB/cell: 0.93
Raw formation energy in eV/atom: -1.49
Volume in A^3/atom: 17.0


[16]
DFT (PBE) results for crystalline Ho2AgTe6Pb3 at its relaxed geometry.

Geometry as extended XYZ:
```
12
Lattice="4.427 0.000 0.000 0.000 9.089 0.308 -2.214 -2.636 9.566" Properties=species:S:1:pos:R:3 pbc="T T T"
Te 2.214 4.398 9.621
Te 2.214 0.047 3.362
Te 0.000 6.407 6.512
Te 0.000 2.055 0.254
Te 0.000 2.093 6.430
Te 2.214 4.361 3.444
Pb 0.000 6.845 3.293
Pb 2.214 4.545 0.154
Pb 2.214 -0.391 6.581
Ag 2.214 0.000 0.000
Ho 0.000 2.210 3.289
Ho 2.214 4.244 6.585
```

Summary:
Symmetry: C2/m
D(E_F) in states/eV/cell: 3.80
Magnetization in μB/cell: 0.00
Raw formation energy in eV/atom: -0.65
Volume in A^3/atom: 32.4


[17]
DFT (PBE) results for crystalline Ta2ZnAs at its relaxed geometry.

Geometry as extended XYZ:
```
4
Lattice="-0.753 -2.120 -1.970 2.832 -0.780 0.560 -2.350 -4.451 5.688" Properties=species:S:1:pos:R:3 pbc="T T T"
Ta -2.342 -4.435 5.668
Ta -1.183 -2.241 2.864
Zn 0.452 -2.562 0.717
As -0.723 -4.788 3.561
```

Summary:
Symmetry: Cmmm
Energy relative to the elements in eV/atom: 0.06
D(E_F) in states/eV/cell: 1.87
E above lowest polymorph in meV per atom: 114
Magnetization in μB/cell: 0.00
Volume in A^3/atom: 16.7


[18]
DFT (PBE) results for crystalline LiCrTc2 at its relaxed geometry.

Geometry as extended XYZ:
```
4
Lattice="3.079 0.000 0.000 0.000 4.181 0.000 0.000 0.000 4.253" Properties=species:S:1:pos:R:3 pbc="T T T"
Tc 0.000 0.000 0.000
Tc 1.539 2.091 0.000
Cr 1.539 0.000 2.126
Li 0.000 2.091 2.126
```

Summary:
Symmetry: Pmmm
Energy relative to the elements in eV/atom: 0.33
D(E_F) in states/eV/cell: 3.41
E above lowest polymorph in meV per atom: 147
Magnetization in μB/cell: 2.42
Volume in A^3/atom: 13.7


[19]
DFT (PBE) results for crystalline Te3Pt at its relaxed geometry.

Geometry as extended XYZ:
```
4
Lattice="6.505 -0.009 0.003 3.170 5.681 -0.003 -4.304 -3.746 3.125" Properties=species:S:1:pos:R:3 pbc="T T T"
Te 0.279 -0.476 2.764
Te 4.139 0.477 1.208
Te 0.732 2.303 1.205
Pt 0.021 -0.035 0.029
```

Summary:
Symmetry: Imm2
D(E_F) in states/eV/cell: 2.24
Magnetization in μB/cell: 0.00
Raw formation energy in eV/atom: -0.05
Volume in A^3/atom: 28.9


[20]
DFT (PBE) results for crystalline Al2VTc2 at its relaxed geometry.

Geometry as extended XYZ:
```
10
Lattice="-0.292 -3.147 5.985 5.160 -3.976 -1.839 2.051 2.103 1.206" Properties=species:S:1:pos:R:3 pbc="T T T"
V 2.434 -3.562 2.073
V 0.000 0.000 0.000
Tc 1.794 -0.661 2.282
Tc 5.124 -4.359 3.069
Tc 4.422 -2.132 0.379
Tc 2.497 -2.888 4.973
Al 0.496 -2.512 3.539
Al 4.373 -4.611 0.607
Al 3.007 -5.244 4.035
Al 1.862 -1.879 0.111
```

Summary:
Symmetry: P4/mbm
Energy relative to the elements in eV/atom: -0.16
D(E_F) in states/eV/cell: 8.37
E above lowest polymorph in meV per atom: 0
Magnetization in μB/cell: 1.94
Volume in A^3/atom: 14.5


[21]
DFT (PBE) results for crystalline Tb2TmRh2 at its relaxed geometry.

Geometry as extended XYZ:
```
10
Lattice="-5.434 -0.484 1.277 -0.739 -3.800 -4.588 1.858 -3.544 6.564" Properties=species:S:1:pos:R:3 pbc="T T T"
Tm 0.000 0.000 0.000
Tm -2.717 -0.242 0.638
Rh -4.259 -4.531 -1.405
Rh -0.056 -3.297 4.658
Rh -3.898 -2.676 0.835
Rh -0.417 -5.152 2.418
Tb -3.617 -5.294 1.040
Tb -2.832 -4.909 4.523
Tb -0.699 -2.535 2.212
Tb -1.483 -2.919 -1.271
```

Summary:
Symmetry: Cmcm
Energy relative to the elements in eV/atom: -0.48
D(E_F) in states/eV/cell: 7.01
E above lowest polymorph in meV per atom: 237
Magnetization in μB/cell: 0.00
Volume in A^3/atom: 23.8


[22]
DFT (PBE) results for crystalline Ce2SmIn3 at its relaxed geometry.

Geometry as extended XYZ:
```
6
Lattice="3.451 0.000 0.000 0.000 3.451 0.000 0.000 0.000 13.915" Properties=species:S:1:pos:R:3 pbc="T T T"
In 0.000 0.000 4.665
In 0.000 0.000 0.000
In 0.000 0.000 9.250
Ce 1.725 1.725 11.574
Ce 1.725 1.725 2.340
Sm 1.725 1.725 6.957
```

Summary:
Symmetry: P4/mmm
Energy relative to the elements in eV/atom: -0.40
D(E_F) in states/eV/cell: 13.38
Magnetization in μB/cell: 2.28
Volume in A^3/atom: 27.6


[23]
DFT (PBE) results for crystalline CeAgCl5 at its relaxed geometry.

Geometry as extended XYZ:
```
14
Lattice="6.396 2.475 -2.901 0.638 6.852 -2.851 -1.308 -1.150 11.274" Properties=species:S:1:pos:R:3 pbc="T T T"
Ce 6.057 5.333 1.303
Ce 5.085 1.332 8.365
Cl 1.817 4.730 -1.905
Cl 3.523 6.806 5.216
Cl 2.196 1.385 0.290
Cl 3.902 3.460 7.410
Cl 3.461 5.584 1.501
Cl -0.348 1.307 6.310
Cl 6.065 6.883 -0.804
Cl 5.665 3.164 -0.344
Cl 0.052 5.028 5.849
Cl 2.258 2.608 4.005
Ag 4.027 4.285 4.935
Ag 1.692 3.905 0.571
```

Summary:
Symmetry: C2/c
Magnetization in μB/cell: 0.00
Raw formation energy in eV/atom: -1.51
Volume in A^3/atom: 31.5


[24]
DFT (PBE) results for crystalline PdPtF2 at its relaxed geometry.

Geometry as extended XYZ:
```
8
Lattice="6.434 0.000 0.000 0.000 6.434 0.000 3.217 3.217 2.728" Properties=species:S:1:pos:R:3 pbc="T T T"
F 4.825 4.721 2.046
F 8.042 8.147 2.046
F 4.930 1.608 0.682
F 1.504 4.825 0.682
Pd 3.217 3.217 0.000
Pd 3.217 6.434 1.364
Pt 6.434 3.217 1.364
Pt 0.000 0.000 0.000
```

Summary:
Symmetry: I-42d
D(E_F) in states/eV/cell: 9.76
E above lowest polymorph in meV per atom: 517
Magnetization in μB/cell: 4.04
Raw formation energy in eV/atom: -0.06
Volume in A^3/atom: 14.1